A relaxed structure of NpCoB, computed with PBE.

Results
- total energy (Ha/atom) = -0.3358
- energy of formation from the pure elements (meV/atom) = -230

Cell lengths 3.4664, 3.4664, 6.0847 Å; angles 86.24, 86.24, 87.58 degrees
Positions (direct):
Np  0.7062  0.7062  0.3885
Np  0.2938  0.2938  0.6115
B  0.7699  0.7699  0.8224
B  0.2301  0.2301  0.1776
Co  0.2492  0.7508  0.0000
Co  0.7508  0.2492  0.0000



A relaxed structure of CoSbAs2Br, computed with PBE.

Results
- E above lowest polymorph (meV per atom) = 0
- total energy (Ha/atom) = -0.1491
- energy relative to the elements, uncorrected (eV/f.u.) = 1.92

Cell lengths 4.6305, 4.6305, 4.9824 Å; angles 90.00, 90.00, 90.00 degrees
Positions (direct):
Sb  0.5000  0.5000  0.5000
As  0.0000  0.5000  0.0000
As  0.5000  0.0000  0.0000
Co  0.0000  0.0000  0.0000
Br  0.0000  0.0000  0.5000